No. 1
# TlReOs2

A geometry-optimized TlReOs2 structure (GGA-PBE, the Alexandria database).

Cell: 5.7035 7.8827 2.8805 Å, 90.00 90.00 90.00°
Space group Cmmm (No. 65)
Symmetry-distinct sites (fractional):
1 Tl 0.0000 0.0000 0.0000 [2 per cell]
2 Re 0.0000 0.5000 0.0000 [2 per cell]
3 Os 0.2500 0.2500 0.5000 [4 per cell]


No. 2
# TlReOs3

A geometry-optimized TlReOs3 structure (GGA-PBE, the Alexandria database).

Cell: 4.7614 4.7614 4.7614 Å, 90.00 90.00 90.00°
Space group Pm-3m (No. 221)
Symmetry-distinct sites (fractional):
1 Tl 0.0000 0.0000 0.0000 [1 per cell]
2 Re 0.5000 0.5000 0.5000 [1 per cell]
3 Os 0.0000 0.5000 0.5000 [3 per cell]


No. 3
# TlReOs2

A geometry-optimized TlReOs2 structure (GGA-PBE, the Alexandria database).

Cell: 9.3800 2.8804 4.9569 Å, 90.00 100.17 90.00°
Space group Cm (No. 8)
Symmetry-distinct sites (fractional):
1 Tl 0.0000 0.0000 0.0000 [2 per cell]
2 Re 0.2674 0.5000 0.3072 [2 per cell]
3 Os 0.0054 0.5000 0.4936 [2 per cell]
4 Os 0.2371 0.0000 0.7393 [2 per cell]


No. 4
# TlReOs2

A geometry-optimized TlReOs2 structure (GGA-PBE, the Alexandria database).

Cell: 2.8101 3.8630 6.1903 Å, 90.00 90.00 90.00°
Space group Pmm2 (No. 25)
Symmetry-distinct sites (fractional):
1 Tl 0.0000 0.0000 0.0000 [1 per cell]
2 Re 0.5000 0.5000 0.6983 [1 per cell]
3 Os 0.0000 0.0000 0.5012 [1 per cell]
4 Os 0.5000 0.5000 0.2824 [1 per cell]


Number 1: polymorph energy (0 for the lowest one) 39.5 kJ/mol of atoms, total moment 0.000 μB/atom. Number 2: polymorph energy (0 for the lowest one) 0.0 kJ/mol of atoms, total moment 0.105 μB/atom. Number 3: polymorph energy (0 for the lowest one) 24.2 kJ/mol of atoms, total moment 0.000 μB/atom. Number 4: polymorph energy (0 for the lowest one) 23.4 kJ/mol of atoms, total moment 0.000 μB/atom.